1.
CaHOF: optimized geometry, PBE.

POSCAR file:
```
CaHOF
1.0
3.0980 -1.8067 0.0000
3.0980 1.8067 0.0000
-2.7095 0.0000 4.8854
Ca H O F
1 1 1 1
direct
0.0000 0.0000 0.0000 Ca
0.4875 0.4875 0.4098 H
0.4285 0.4285 0.2119 O
0.5662 0.5662 0.7698 F
```

Summary:
Crystal system: monoclinic
Uncorrected energy (eV/atom): -5.69



2.
CaHPb2F: optimized geometry, PBE.

POSCAR file:
```
CaHPb2F
1.0
6.2349 0.0000 0.0000
0.0000 6.2349 0.0000
0.0000 0.0000 3.7714
Ca H Pb F
1 1 2 1
direct
0.0000 0.0000 0.0000 Ca
0.0000 0.0000 0.5000 H
0.0000 0.5000 0.0000 Pb
0.5000 0.0000 0.0000 Pb
0.5000 0.5000 0.5000 F
```

Summary:
Crystal system: tetragonal
Uncorrected energy (eV/atom): -2.91



3.
RbCaH2F: optimized geometry, PBE.

POSCAR file:
```
RbCaH2F
1.0
4.5258 0.0000 0.0000
0.0000 4.5258 0.0000
0.0000 0.0000 4.5124
Rb Ca H F
1 1 2 1
direct
0.0000 0.0000 0.0000 Rb
0.5000 0.5000 0.5000 Ca
0.0000 0.5000 0.5000 H
0.5000 0.0000 0.5000 H
0.5000 0.5000 0.0000 F
```

Summary:
Crystal system: tetragonal
Uncorrected energy (eV/atom): -3.73



4.
Rb2CaHF6: optimized geometry, PBE.

POSCAR file:
```
Rb2CaHF6
1.0
-2.7561 2.7561 5.5194
2.7561 -2.7561 5.5194
2.7561 2.7561 -5.5194
Rb Ca H F
2 1 1 6
direct
0.2500 0.7500 0.5000 Rb
0.7500 0.2500 0.5000 Rb
0.0000 0.0000 0.0000 Ca
0.5000 0.5000 0.0000 H
0.1991 0.1991 0.0000 F
0.2973 0.2973 0.5945 F
0.2973 0.7027 0.0000 F
0.7027 0.2973 0.0000 F
0.7027 0.7027 0.4055 F
0.8009 0.8009 0.0000 F
```

Summary:
Crystal system: tetragonal
Uncorrected energy (eV/atom): -4.19



5.
Rb2CaH3F: optimized geometry, PBE.

POSCAR file:
```
Rb2CaH3F
1.0
-2.2496 2.2540 7.3805
2.2496 -2.2540 7.3805
2.2496 2.2540 -7.3805
Rb Ca H F
2 1 3 1
direct
0.1471 0.1471 0.0000 Rb
0.8529 0.8529 0.0000 Rb
0.5000 0.5000 0.0000 Ca
0.3431 0.3431 0.0000 H
0.5000 0.0000 0.5000 H
0.6569 0.6569 0.0000 H
0.0000 0.5000 0.5000 F
```

Summary:
Crystal system: orthorhombic
Uncorrected energy (eV/atom): -3.34



6.
CaSb2H2F14: optimized geometry, PBE.

POSCAR file:
```
CaSb2H2F14
1.0
9.2757 0.0000 0.0000
0.0000 11.0792 0.0000
-5.9405 0.0000 10.9668
Ca Sb H F
4 8 8 56
direct
0.1167 0.2499 0.2922 Ca
0.1167 0.2501 0.7922 Ca
0.8833 0.7499 0.2078 Ca
0.8833 0.7501 0.7078 Ca
0.0000 0.0000 0.0000 Sb
0.0000 0.0000 0.5000 Sb
0.0000 0.5000 0.0000 Sb
0.0000 0.5000 0.5000 Sb
0.4038 0.7185 0.4064 Sb
0.4038 0.7815 0.9064 Sb
0.5962 0.2185 0.0936 Sb
0.5962 0.2815 0.5936 Sb
0.3271 0.5030 0.8622 H
0.3271 0.9970 0.3622 H
0.4104 0.2390 0.7375 H
0.4104 0.2610 0.2375 H
0.5896 0.7390 0.7625 H
0.5896 0.7610 0.2625 H
0.6729 0.0030 0.6378 H
0.6729 0.4970 0.1378 H
0.0115 0.1407 0.0964 F
0.0115 0.3593 0.5964 F
0.0143 0.0903 0.6382 F
0.0143 0.4097 0.1382 F
0.0466 0.1443 0.4341 F
0.0466 0.3557 0.9341 F
0.0523 0.0966 0.8935 F
0.0523 0.4034 0.3935 F
0.1753 0.7471 0.2910 F
0.1753 0.7529 0.7910 F
0.2255 0.5279 0.6030 F
0.2255 0.9721 0.1030 F
0.2267 0.5340 0.0869 F
0.2267 0.9660 0.5869 F
0.2545 0.0676 0.3377 F
0.2545 0.4324 0.8377 F
0.3127 0.2030 0.7355 F
0.3127 0.2970 0.2355 F
0.3615 0.7415 0.5387 F
0.3615 0.7585 0.0387 F
0.3631 0.2056 0.9847 F
0.3631 0.2944 0.4847 F
0.3634 0.5510 0.3964 F
0.3634 0.9490 0.8964 F
0.4379 0.6080 0.9021 F
0.4379 0.8920 0.4021 F
0.4521 0.7055 0.2724 F
0.4521 0.7945 0.7724 F
0.5479 0.2055 0.2276 F
0.5479 0.2945 0.7276 F
0.5621 0.1080 0.5979 F
0.5621 0.3920 0.0979 F
0.6366 0.0510 0.1036 F
0.6366 0.4490 0.6036 F
0.6369 0.7056 0.5153 F
0.6369 0.7944 0.0153 F
0.6385 0.2415 0.9613 F
0.6385 0.2585 0.4613 F
0.6873 0.7030 0.7645 F
0.6873 0.7970 0.2645 F
0.7455 0.5676 0.1623 F
0.7455 0.9324 0.6623 F
0.7733 0.0340 0.4131 F
0.7733 0.4660 0.9131 F
0.7745 0.0279 0.8970 F
0.7745 0.4721 0.3970 F
0.8247 0.2471 0.2090 F
0.8247 0.2529 0.7090 F
0.9477 0.5966 0.6065 F
0.9477 0.9034 0.1065 F
0.9534 0.6443 0.0659 F
0.9534 0.8557 0.5659 F
0.9857 0.5903 0.8618 F
0.9857 0.9097 0.3618 F
0.9885 0.6407 0.4036 F
0.9885 0.8593 0.9036 F
```

Summary:
Crystal system: monoclinic
Uncorrected energy (eV/atom): -4.72



7.
CaH2SeF: optimized geometry, PBE.

POSCAR file:
```
CaH2SeF
1.0
3.1561 0.0000 0.0000
0.0000 8.0498 0.0000
-0.0311 0.0000 3.1721
Ca H Se F
1 2 1 1
direct
0.0000 0.0000 0.0000 Ca
0.0807 0.6365 0.0881 H
0.9193 0.6365 0.9119 H
0.5000 0.2662 0.5000 Se
0.5000 0.8869 0.5000 F
```

Summary:
Crystal system: monoclinic
E above lowest polymorph (meV/atom): 34
Uncorrected energy (eV/atom): -4.13



8.
CaH2SeF: optimized geometry, PBE.

POSCAR file:
```
CaH2SeF
1.0
3.5236 0.0000 0.0000
1.4123 3.2308 0.0000
0.8198 0.5825 8.0602
Ca H Se F
1 2 1 1
direct
0.0000 0.0000 0.0000 Ca
0.0841 0.8916 0.3662 H
0.8951 0.0921 0.3627 H
0.3907 0.3969 0.7373 Se
0.6331 0.6308 0.1041 F
```

Summary:
Crystal system: triclinic
E above lowest polymorph (meV/atom): 0
Uncorrected energy (eV/atom): -4.16



9.
CaH2SeF: optimized geometry, PBE.

POSCAR file:
```
CaH2SeF
1.0
3.9099 0.0000 0.0000
-1.8897 3.4701 0.0000
-0.2751 -1.1442 5.9320
Ca H Se F
1 2 1 1
direct
0.0000 0.0000 0.0000 Ca
0.2198 0.6658 0.4784 H
0.6995 0.3900 0.1907 H
0.9439 0.8251 0.4674 Se
0.3190 0.6403 0.9418 F
```

Summary:
Crystal system: triclinic
E above lowest polymorph (meV/atom): 207
Uncorrected energy (eV/atom): -3.95



10.
CaH2SeF: optimized geometry, PBE.

POSCAR file:
```
CaH2SeF
1.0
4.0608 0.0000 0.0000
0.0000 4.6130 0.0000
-2.0268 0.0000 3.6668
Ca H Se F
1 2 1 1
direct
0.0000 0.0000 0.0000 Ca
0.1995 0.5000 0.3921 H
0.3567 0.0000 0.7129 H
0.3993 0.5000 0.7973 Se
0.6828 0.0000 0.3654 F
```

Summary:
Crystal system: monoclinic
E above lowest polymorph (meV/atom): 198
Uncorrected energy (eV/atom): -3.96



11.
CaH2SeF: optimized geometry, PBE.

POSCAR file:
```
CaH2SeF
1.0
3.8148 0.0000 0.0000
1.5911 3.8061 0.0000
0.0061 0.0045 4.9399
Ca H Se F
1 2 1 1
direct
0.0000 0.0000 0.0000 Ca
0.7524 0.7634 0.4986 H
0.9697 0.5777 0.4984 H
0.3627 0.1732 0.4993 Se
0.6895 0.6173 0.9995 F
```

Summary:
Crystal system: triclinic
E above lowest polymorph (meV/atom): 23
Uncorrected energy (eV/atom): -4.14



12.
CaH2SeF: optimized geometry, PBE.

POSCAR file:
```
CaH2SeF
1.0
4.8070 0.0000 0.0000
0.0000 2.1323 3.3276
0.0000 -2.1323 3.3276
Ca H Se F
1 2 1 1
direct
0.0000 0.0000 0.0000 Ca
0.5000 0.5785 0.5785 H
0.5000 0.9007 0.9007 H
0.5000 0.3557 0.3557 Se
0.0000 0.6625 0.6625 F
```

Summary:
Crystal system: orthorhombic
E above lowest polymorph (meV/atom): 128
Uncorrected energy (eV/atom): -4.03



> Which formula does entry 4 have?

Rb2CaHF6